a.
A geometry-optimized Ti2MoPd2 structure, computed with PBE.

The space group is P4/mbm (No. 127) and the conventional cell measures 7.543, 7.543 and 2.826 Å, with angles of 90.00, 90.00 and 90.00 degrees. Symmetry generates all atoms from Ti at (0.172, 0.328, 0.000), Mo at (0.000, 0.000, 0.500) and Pd at (0.128, 0.628, 0.500).

As for the volume: 160.8 Å³ per cell. The calculation puts the total moment at 0.057 μB/atom.


b.
A geometry-optimized Ti2MoPd2 structure, computed with PBE.

The space group is Cmmm (No. 65) and the conventional cell measures 3.196, 16.637 and 3.100 Å, with angles of 90.00, 90.00 and 90.00 degrees. Symmetry generates all atoms from Ti at (0.000, 0.094, 0.000), Mo at (0.000, 0.500, 0.500) and Pd at (0.000, 0.318, 0.500).

As for the volume: 164.8 Å³ per cell. The calculation puts the total moment at 0.000 μB/atom.


c.
A geometry-optimized Ti2MoPd2 structure, computed with PBE.

The space group is P4/mbm (No. 127) and the conventional cell measures 7.295, 7.295 and 3.016 Å, with angles of 90.00, 90.00 and 90.00 degrees. Symmetry generates all atoms from Ti at (0.163, 0.337, 0.000), Mo at (0.000, 0.000, 0.000) and Pd at (0.138, 0.638, 0.500).

As for the volume: 160.5 Å³ per cell. The calculation puts the total moment at 0.000 μB/atom.


Which of them is the least stable? Correct choice: a.


a.
A geometry-optimized TlMoPd2 structure, computed with PBE.

The space group is Fm-3m (No. 225) and the conventional cell measures 6.530, 6.530 and 6.530 Å, with angles of 90.00, 90.00 and 90.00 degrees. Symmetry generates all atoms from Tl at (0.000, 0.000, 0.000), Mo at (0.000, 0.000, 0.500) and Pd at (0.250, 0.250, 0.250).

As for the volume: 278.4 Å³ per cell. The calculation puts the total moment at 0.437 μB/atom.


b.
A geometry-optimized TlMoPd2 structure, computed with PBE.

The space group is I-42d (No. 122) and the conventional cell measures 7.367, 7.367 and 5.654 Å, with angles of 90.00, 90.00 and 90.00 degrees. Symmetry generates all atoms from Tl at (0.000, 0.000, 0.000), Mo at (0.000, 0.000, 0.500) and Pd at (0.226, 0.250, 0.625).

As for the volume: 306.9 Å³ per cell. The calculation puts the total moment at 0.366 μB/atom.


Which of them is the least stable? Correct choice: b.